Entry 1:
# TbPIr GGA-PBE relaxed
# energy of formation: -0.679 eV per atom
data_TbPIr
_chemical_formula_sum 'Tb4 P4 Ir4'
_cell_length_a 7.648
_cell_length_b 4.904
_cell_length_c 7.615
_cell_angle_alpha 90.00
_cell_angle_beta 118.09
_cell_angle_gamma 90.00
_symmetry_space_group_name_H-M 'C 1 2/m 1'
_symmetry_Int_Tables_number 12
_symmetry_space_group_name_Hall '-C 2y'
loop_
_atom_site_label
_atom_site_type_symbol
_atom_site_fract_x
_atom_site_fract_y
_atom_site_fract_z
Tb1 Tb 0.111 0.000 0.256
P1 P 0.044 0.500 0.380
Ir1 Ir 0.159 0.500 0.958

***

Entry 2:
# LaSm2MoN4 GGA-PBE relaxed
# energy relative to the elements, uncorrected: -1.069 eV/atom
data_LaSm2MoN4
_chemical_formula_sum 'La4 Sm8 Mo4 N16'
_cell_length_a 3.506
_cell_length_b 12.137
_cell_length_c 12.201
_cell_angle_alpha 90.00
_cell_angle_beta 90.00
_cell_angle_gamma 90.00
_symmetry_space_group_name_H-M 'C m c m'
_symmetry_Int_Tables_number 63
_symmetry_space_group_name_Hall '-C 2c 2'
loop_
_atom_site_label
_atom_site_type_symbol
_atom_site_fract_x
_atom_site_fract_y
_atom_site_fract_z
La1 La 0.000 0.085 0.250
Sm1 Sm 0.000 0.370 0.040
Mo1 Mo 0.000 0.172 0.750
N1 N 0.000 0.000 0.000
N2 N 0.000 0.265 0.625
N3 N 0.000 0.429 0.250

***

Entry 3:
# CaCr2Rh GGA-PBE relaxed
# energy of formation: 0.440 eV per atom
data_CaCr2Rh
_chemical_formula_sum 'Ca1 Cr2 Rh1'
_cell_length_a 2.867
_cell_length_b 4.211
_cell_length_c 5.895
_cell_angle_alpha 90.00
_cell_angle_beta 90.00
_cell_angle_gamma 90.00
_symmetry_space_group_name_H-M 'P m m m'
_symmetry_Int_Tables_number 47
_symmetry_space_group_name_Hall '-P 2 2'
loop_
_atom_site_label
_atom_site_type_symbol
_atom_site_fract_x
_atom_site_fract_y
_atom_site_fract_z
Ca1 Ca 0.000 0.000 0.000
Cr1 Cr 0.500 0.500 0.344
Rh1 Rh 0.000 0.000 0.500